No. 1
A geometry-optimized Y2Ho9Er3 structure. Source: Alexandria, functional PBE.

Lattice parameters (Å, degrees): 6.1559 8.6882 8.6958 79.47 77.46 87.48
Space group P-1 (No. 2)
One atom of each set of equivalent atoms:
1 Y 0.0461 0.0310 0.2968 [2 per cell]
2 Ho 0.0121 0.7495 0.0815 [2 per cell]
3 Ho 0.1537 0.3334 0.5055 [2 per cell]
4 Ho 0.3109 0.3835 0.1024 [2 per cell]
5 Ho 0.4117 0.6875 0.3038 [2 per cell]
6 Ho 0.5000 0.0000 0.5000 [1 per cell]
7 Er 0.2479 0.6185 0.7244 [2 per cell]
8 Er 0.5000 0.0000 0.0000 [1 per cell]

The calculation puts the calculated formation energy at 124 meV/atom.

No. 2
A geometry-optimized TlAsIrPbAuCl structure. Source: Alexandria, functional PBE.

Lattice parameters (Å, degrees): 9.6038 4.0162 9.2725 90.00 114.43 90.00
Space group Cm (No. 8)
One atom of each set of equivalent atoms:
1 Tl 0.0000 0.0000 0.0000 [2 per cell]
2 As 0.3817 0.5000 0.3753 [2 per cell]
3 Ir 0.2311 0.0000 0.3114 [2 per cell]
4 Pb 0.2029 0.0000 0.6050 [2 per cell]
5 Au 0.0218 0.5000 0.2928 [2 per cell]
6 Cl 0.1042 0.5000 0.7890 [2 per cell]

The value obtained for the formation energy (no corrections) is -0.143 eV/atom.

no.,magnetic moment (μB per atom)
1,0.000
2,0.000